A plane-wave DFT calculation with PBE was carried out for a relaxed structure of CdReRu2.

Structure (CIF):
```
data_CdReRu2
_space_group_name_H-M_alt 'I -4 m 2'
_space_group_IT_number 119
_space_group_name_Hall 'I -4 -2'
_cell_length_a 3.8265
_cell_length_b 3.8265
_cell_length_c 8.4230
_cell_angle_alpha 90.00
_cell_angle_beta 90.00
_cell_angle_gamma 90.00
loop_
_atom_site_label
_atom_site_type_symbol
_atom_site_fract_x
_atom_site_fract_y
_atom_site_fract_z
Cd1 Cd 0.0000 0.0000 0.0000
Re1 Re 0.0000 0.5000 0.7500
Ru1 Ru 0.0000 0.0000 0.5000
Ru2 Ru 0.0000 0.5000 0.2500
```

Output
D(E_F)	1.324	states/eV/atom
crystal system	tetragonal
formation enthalpy at 0 K	0.50	eV/atom
VASP energy	-7.48	eV/atom
mass density	13.5	g/cm3

=====

A plane-wave DFT calculation with PBE was carried out for a relaxed structure of AcPr2Pa.

Structure (CIF):
```
data_AcPr2Pa
_space_group_name_H-M_alt 'R -3 m'
_space_group_IT_number 166
_space_group_name_Hall '-R 3 2"'
_cell_length_a 3.5164
_cell_length_b 3.5164
_cell_length_c 38.5520
_cell_angle_alpha 90.00
_cell_angle_beta 90.00
_cell_angle_gamma 120.00
loop_
_atom_site_label
_atom_site_type_symbol
_atom_site_fract_x
_atom_site_fract_y
_atom_site_fract_z
Ac1 Ac 0.0000 0.0000 0.0000
Pr1 Pr 0.0000 0.0000 0.4154
Pa1 Pa 0.0000 0.0000 0.5000
```

Output
D(E_F)	1.593	states/eV/atom
crystal system	trigonal
formation enthalpy at 0 K	0.44	eV/atom
VASP energy	-5.35	eV/atom
mass density	8.9	g/cm3

=====

A plane-wave DFT calculation with PBE was carried out for a relaxed structure of KNaF3.

Structure (CIF):
```
data_KNaF3
_space_group_name_H-M_alt 'P b a m'
_space_group_IT_number 55
_cell_length_a 5.7537
_cell_length_b 5.7864
_cell_length_c 4.9229
_cell_angle_alpha 90.00
_cell_angle_beta 90.00
_cell_angle_gamma 90.00
loop_
_space_group_symop_operation_xyz
'x,y,z'
'-x,-y,-z'
'-x,-y,z'
'x,y,-z'
'x+1/2,-y+1/2,-z'
'-x+1/2,y+1/2,z'
'-x+1/2,y+1/2,-z'
'x+1/2,-y+1/2,z'
loop_
_atom_site_label
_atom_site_type_symbol
_atom_site_fract_x
_atom_site_fract_y
_atom_site_fract_z
K1 K 0.0000 0.0000 0.0000
Na1 Na 0.0000 0.5000 0.5000
F1 F 0.0000 0.5000 0.0000
F2 F 0.1246 0.1261 0.5000
```

Output
D(E_F)	0.653	states/eV/atom
crystal system	orthorhombic
VASP energy	-3.78	eV/atom
mass density	2.4	g/cm3
formation energy without anion corrections	-10.88	eV per formula unit

=====

A plane-wave DFT calculation with PBE was carried out for a relaxed structure of Pr2HoEr6.

Structure (CIF):
```
data_Pr2HoEr6
_space_group_name_H-M_alt 'P 42/m n m'
_space_group_IT_number 136
_space_group_name_Hall '-P 4n 2n'
_cell_length_a 10.6401
_cell_length_b 10.6401
_cell_length_c 5.0498
_cell_angle_alpha 90.00
_cell_angle_beta 90.00
_cell_angle_gamma 90.00
loop_
_atom_site_label
_atom_site_type_symbol
_atom_site_fract_x
_atom_site_fract_y
_atom_site_fract_z
Pr1 Pr 0.1664 0.1664 0.0000
Ho1 Ho 0.0000 0.0000 0.5000
Er1 Er 0.0008 0.3345 0.5000
Er2 Er 0.1670 0.8330 0.0000
```

Output
D(E_F)	1.313	states/eV/atom
crystal system	tetragonal
formation enthalpy at 0 K	0.03	eV/atom
VASP energy	-4.59	eV/atom
mass density	8.4	g/cm3

=====

A plane-wave DFT calculation with PBE was carried out for a relaxed structure of Ga3Ni2.

Structure (CIF):
```
data_Ga3Ni2
_space_group_name_H-M_alt 'P -3 m 1'
_space_group_IT_number 164
_space_group_name_Hall '-P 3 2"'
_cell_length_a 4.0857
_cell_length_b 4.0857
_cell_length_c 4.8921
_cell_angle_alpha 90.00
_cell_angle_beta 90.00
_cell_angle_gamma 120.00
loop_
_atom_site_label
_atom_site_type_symbol
_atom_site_fract_x
_atom_site_fract_y
_atom_site_fract_z
Ga1 Ga 0.0000 0.0000 0.0000
Ga2 Ga 0.3333 0.6667 0.6395
Ni1 Ni 0.3333 0.6667 0.1412
```

Output
D(E_F)	0.261	states/eV/atom
crystal system	trigonal
formation enthalpy at 0 K	-0.41	eV/atom
VASP energy	-4.54	eV/atom
mass density	7.7	g/cm3

=====

A plane-wave DFT calculation with PBE was carried out for a relaxed structure of YBTe2Ir.

Structure (CIF):
```
data_YBTe2Ir
_space_group_name_H-M_alt 'P 4/m m m'
_space_group_IT_number 123
_space_group_name_Hall '-P 4 2'
_cell_length_a 5.8424
_cell_length_b 5.8424
_cell_length_c 5.2095
_cell_angle_alpha 90.00
_cell_angle_beta 90.00
_cell_angle_gamma 90.00
loop_
_atom_site_label
_atom_site_type_symbol
_atom_site_fract_x
_atom_site_fract_y
_atom_site_fract_z
Y1 Y 0.0000 0.0000 0.0000
B1 B 0.5000 0.5000 0.5000
Te1 Te 0.0000 0.5000 0.0000
Ir1 Ir 0.0000 0.0000 0.5000
```

Output
D(E_F)	0.723	states/eV/atom
crystal system	tetragonal
VASP energy	-4.10	eV/atom
mass density	5.1	g/cm3
formation energy without anion corrections	7.79	eV per formula unit

=====

A plane-wave DFT calculation with PBE was carried out for a relaxed structure of Li2LaMo.

Structure (CIF):
```
data_Li2LaMo
_space_group_name_H-M_alt 'F m -3 m'
_space_group_IT_number 225
_space_group_name_Hall '-F 4 2 3'
_cell_length_a 6.8492
_cell_length_b 6.8492
_cell_length_c 6.8492
_cell_angle_alpha 90.00
_cell_angle_beta 90.00
_cell_angle_gamma 90.00
loop_
_atom_site_label
_atom_site_type_symbol
_atom_site_fract_x
_atom_site_fract_y
_atom_site_fract_z
Li1 Li 0.2500 0.2500 0.2500
La1 La 0.0000 0.0000 0.0000
Mo1 Mo 0.0000 0.0000 0.5000
```

Output
D(E_F)	1.047	states/eV/atom
crystal system	cubic
formation enthalpy at 0 K	0.63	eV/atom
VASP energy	-4.26	eV/atom
mass density	5.1	g/cm3

=====

A plane-wave DFT calculation with PBE was carried out for a relaxed structure of ErBe9Tc2.

Structure (CIF):
```
data_ErBe9Tc2
_space_group_name_H-M_alt 'P 63/m m c'
_space_group_IT_number 194
_space_group_name_Hall '-P 6c 2c'
_cell_length_a 4.4610
_cell_length_b 4.4610
_cell_length_c 14.3733
_cell_angle_alpha 90.00
_cell_angle_beta 90.00
_cell_angle_gamma 120.00
loop_
_atom_site_label
_atom_site_type_symbol
_atom_site_fract_x
_atom_site_fract_y
_atom_site_fract_z
Er1 Er 0.3333 0.6667 0.2500
Be1 Be 0.0000 0.0000 0.0000
Be2 Be 0.0000 0.0000 0.2500
Be3 Be 0.1695 0.3391 0.6203
Be4 Be 0.3333 0.6667 0.7500
Tc1 Tc 0.3333 0.6667 0.0305
```

Output
D(E_F)	0.368	states/eV/atom
crystal system	hexagonal
formation enthalpy at 0 K	-0.27	eV/atom
VASP energy	-5.17	eV/atom
mass density	6.0	g/cm3

=====

Which of these has the lowest D(E_F)? Ga3Ni2

=====

D(E_F) of number 4 (Pr2HoEr6)? 1.313 states/eV/atom

=====

Which formula does entry 8 have? ErBe9Tc2

=====

The highest mass density belongs to which entry? CdReRu2